Here is a relaxed structure of ZnIn3Br from Alexandria via LeMat-Bulk. Energies are from PBE.

Results
Uncorrected energy ... -11.28 eV per formula unit
Mass density ... 5.4 g/cm3
Polymorph energy (0 for the lowest one) ... 0 meV per atom
Total magnetic moment ... 0.00 μB/atom
V ... 150.7 Å³ per cell
Formation energy (no corrections) ... -0.0234 eV/atom

CIF file:
```
data_ZnIn3Br
_cell_length_a 5.3221
_cell_length_b 5.3221
_cell_length_c 5.3221
_cell_angle_alpha 90.00
_cell_angle_beta 90.00
_cell_angle_gamma 90.00
_space_group_name_H-M_alt 'P m -3 m'
_space_group_IT_number 221
_space_group_name_Hall '-P 4 2 3'
loop_
_atom_site_label
_atom_site_fract_x
_atom_site_fract_y
_atom_site_fract_z
Zn1 0.0000 0.0000 0.0000
In1 0.0000 0.0000 0.5000
Br1 0.5000 0.5000 0.5000
```

***

Here is a relaxed structure of AlInBi from Alexandria via LeMat-Bulk. Energies are from PBE.

Results
Uncorrected energy ... -9.83 eV per formula unit
Mass density ... 6.4 g/cm3
Polymorph energy (0 for the lowest one) ... 66 meV per atom
Total magnetic moment ... 0.00 μB/atom
V ... 361.5 Å³ per cell
ΔH_f (0 K) ... 0.18 eV per atom

CIF file:
```
data_AlInBi
_cell_length_a 9.0152
_cell_length_b 9.0152
_cell_length_c 4.4476
_cell_angle_alpha 90.00
_cell_angle_beta 90.00
_cell_angle_gamma 90.00
_space_group_name_H-M_alt 'P 42/m'
_space_group_IT_number 84
loop_
_space_group_symop_operation_xyz
'x,y,z'
'-x,-y,-z'
'-y,x,z+1/2'
'y,-x,-z+1/2'
'-x,-y,z'
'x,y,-z'
'y,-x,z+1/2'
'-y,x,-z+1/2'
loop_
_atom_site_label
_atom_site_fract_x
_atom_site_fract_y
_atom_site_fract_z
Al1 0.1986 0.7024 0.0000
In1 0.3283 0.4140 0.0000
Bi1 0.0016 0.3247 0.5000
```

***

> total magnetic moment of number 2 (AlInBi)?

0.00 μB/atom